# 1
LiCd2P after structural relaxation, computed with GGA-PBE.

abc: 4.7075 4.7075 6.9096
angles: 70.23 70.23 37.08
Element x y z (fractional)
Li  0.5655  0.5655  0.3756
P  0.2914  0.2914  0.3751
Cd  0.7242  0.7242  0.7448
Cd  0.9189  0.9189  0.0045

Results
DFT total energy ... -9.55 eV per formula unit
Total magnetization ... 0.000 μB per atom
SG ... Cm

# 2
LiCd2P after structural relaxation, computed with GGA-PBE.

abc: 4.7995 4.7995 4.7995
angles: 60.00 60.00 60.00
Element x y z (fractional)
Li  0.5000  0.5000  0.5000
Cd  0.0000  0.0000  0.0000
Cd  0.2500  0.2500  0.2500
P  0.7500  0.7500  0.7500

Results
DFT total energy ... -9.24 eV per formula unit
Total magnetization ... 0.000 μB per atom
SG ... F-43m

# 3
LiCdP2 after structural relaxation, computed with GGA-PBE.

abc: 8.1664 8.1664 8.1664
angles: 22.50 22.50 22.50
Element x y z (fractional)
P  0.4966  0.4966  0.4966
P  0.0034  0.0034  0.0034
Li  0.7500  0.7500  0.7500
Cd  0.2500  0.2500  0.2500

Results
DFT total energy ... -13.05 eV per formula unit
Total magnetization ... 0.000 μB per atom
SG ... R-3m

# 4
LiCdP2 after structural relaxation, computed with GGA-PBE.

abc: 3.6052 3.6052 5.4474
angles: 90.00 90.00 90.00
Element x y z (fractional)
Cd  0.5000  0.5000  0.2500
Li  0.5000  0.5000  0.7500
P  0.0000  0.0000  0.5574
P  0.0000  0.0000  0.9426

Results
DFT total energy ... -14.06 eV per formula unit
Total magnetization ... 0.000 μB per atom
SG ... P4/mmm

# 5
LiCd2P after structural relaxation, computed with GGA-PBE.

abc: 3.5759 3.5759 5.9048
angles: 90.00 90.00 90.00
Element x y z (fractional)
P  0.5000  0.5000  0.7259
Cd  0.5000  0.5000  0.2694
Cd  0.0000  0.0000  0.9773
Li  0.0000  0.0000  0.5274

Results
DFT total energy ... -9.32 eV per formula unit
Total magnetization ... 0.000 μB per atom
SG ... P4mm

# 6
Li3CdP after structural relaxation, computed with GGA-PBE.

abc: 4.7586 4.7586 4.7586
angles: 90.00 90.00 90.00
Element x y z (fractional)
Li  0.5000  0.0000  0.0000
Li  0.0000  0.0000  0.5000
Li  0.0000  0.5000  0.0000
Cd  0.5000  0.5000  0.5000
P  0.0000  0.0000  0.0000

Results
Distance to the lowest polymorph of the same formula ... 0 meV per atom
DFT total energy ... -13.84 eV per formula unit
Total magnetization ... 0.000 μB per atom
SG ... Pm-3m

# 7
LiCdP2 after structural relaxation, computed with GGA-PBE.

abc: 2.6747 4.0005 7.4472
angles: 90.00 90.00 90.00
Element x y z (fractional)
P  0.0000  0.0000  0.8151
P  0.5000  0.5000  0.2802
Cd  0.0000  0.0000  0.4718
Li  0.5000  0.5000  0.9329

Results
DFT total energy ... -13.41 eV per formula unit
Total magnetization ... 0.000 μB per atom
SG ... Pmm2

# 8
LiCd2P after structural relaxation, computed with GGA-PBE.

abc: 5.1218 3.0887 4.8956
angles: 93.13 90.00 90.00
Element x y z (fractional)
Cd  0.0000  0.9862  0.0019
Cd  0.0000  0.5138  0.4981
Li  0.5000  0.2500  0.2500
P  0.5000  0.7500  0.7500

Results
DFT total energy ... -9.31 eV per formula unit
Total magnetization ... 0.000 μB per atom
SG ... P2/m

# 9
LiCd2P after structural relaxation, computed with GGA-PBE.

abc: 8.8802 8.8802 6.7225
angles: 48.66 48.66 90.00
Element x y z (fractional)
Cd  0.8750  0.9755  0.7500
Cd  0.7255  0.1250  0.2500
Cd  0.3750  0.2745  0.7500
Cd  0.0245  0.6250  0.2500
P  0.7500  0.2500  0.5000
P  0.0000  0.0000  0.0000
Li  0.5000  0.5000  0.0000
Li  0.2500  0.7500  0.5000

Results
DFT total energy ... -9.53 eV per formula unit
Total magnetization ... 0.000 μB per atom
SG ... I-42d

# 10
LiCdP2 after structural relaxation, computed with GGA-PBE.

abc: 2.9892 2.9892 7.7179
angles: 90.00 90.00 97.72
Element x y z (fractional)
P  0.0000  0.0000  0.5150
P  0.0000  0.0000  0.9850
Li  0.5000  0.5000  0.7500
Cd  0.5000  0.5000  0.2500

Results
DFT total energy ... -13.06 eV per formula unit
Total magnetization ... 0.000 μB per atom
SG ... Cmmm

# 11
LiCdP3 after structural relaxation, computed with GGA-PBE.

abc: 4.4744 4.4744 4.4744
angles: 90.00 90.00 90.00
Element x y z (fractional)
Li  0.0000  0.0000  0.0000
P  0.0000  0.0000  0.5000
P  0.5000  0.0000  0.0000
P  0.0000  0.5000  0.0000
Cd  0.5000  0.5000  0.5000

Results
Distance to the lowest polymorph of the same formula ... 0 meV per atom
DFT total energy ... -15.50 eV per formula unit
Total magnetization ... 0.000 μB per atom
SG ... Pm-3m

# 12
LiCdP after structural relaxation, computed with GGA-PBE.

abc: 4.3467 4.3467 21.3289
angles: 90.00 90.00 120.00
Element x y z (fractional)
Cd  0.0000  0.0000  0.6199
Cd  0.3333  0.6667  0.0468
Cd  0.6667  0.3333  0.7134
Cd  0.0000  0.0000  0.3801
Cd  0.3333  0.6667  0.2866
Cd  0.6667  0.3333  0.9532
Li  0.0000  0.0000  0.8728
Li  0.6667  0.3333  0.2061
Li  0.3333  0.6667  0.5395
Li  0.3333  0.6667  0.7939
Li  0.0000  0.0000  0.1272
Li  0.6667  0.3333  0.4605
P  0.0000  0.0000  0.2471
P  0.3333  0.6667  0.4196
P  0.0000  0.0000  0.7529
P  0.3333  0.6667  0.9137
P  0.6667  0.3333  0.5804
P  0.6667  0.3333  0.0863

Results
DFT total energy ... -9.47 eV per formula unit
Total magnetization ... 0.000 μB per atom
SG ... R-3m